1.
Density functional theory data (PBE) for a geometry-optimized CdMoAs2 structure.

Properties
Fermi-level density of states = 0.807 states/eV/atom
calculated formation energy = 0.709 eV per atom
size of the total moment = 1.6 Bohr magnetons per cell
total energy = -4.55 eV per atom

a = 4.726 Å, b = 4.726 Å, c = 4.726 Å
α = 60.00°, β = 60.00°, γ = 60.00°
Site moments in Bohr magnetons follow the coordinates.
Element x y z (fractional)
As  0.000  0.000  0.000  -0.06
As  0.750  0.750  0.750  -0.04
Cd  0.500  0.500  0.500  0.04
Mo  0.250  0.250  0.250  1.39

---

2.
Density functional theory data (PBE) for a geometry-optimized Ac2Tb8Sm3 structure.

Properties
Fermi-level density of states = 1.642 states/eV/atom
calculated formation energy = 0.273 eV per atom
size of the total moment = 0.0 Bohr magnetons per cell
relative energy among the computed polymorphs = 0.074 eV per atom
total energy = -4.30 eV per atom

a = 6.638 Å, b = 6.638 Å, c = 12.885 Å
α = 75.07°, β = 75.07°, γ = 60.00°
Element x y z (fractional)
Tb  0.280  0.280  0.662
Tb  0.280  0.779  0.662
Tb  0.720  0.221  0.338
Tb  0.720  0.720  0.338
Tb  0.271  0.271  0.186
Tb  0.221  0.720  0.338
Tb  0.729  0.729  0.814
Tb  0.779  0.280  0.662
Ac  0.361  0.361  0.916
Ac  0.639  0.639  0.084
Sm  0.187  0.187  0.438
Sm  0.813  0.813  0.562
Sm  0.000  0.000  0.000

---

3.
Density functional theory data (PBE) for a geometry-optimized Tb2BiPd structure.

Properties
Fermi-level density of states = 0.666 states/eV/atom
calculated formation energy = -0.808 eV per atom
size of the total moment = 0.0 Bohr magnetons per cell
relative energy among the computed polymorphs = 0.000 eV per atom
total energy = -5.39 eV per atom

a = 4.383 Å, b = 6.288 Å, c = 8.315 Å
α = 111.38°, β = 90.00°, γ = 90.00°
Element x y z (fractional)
Tb  0.750  0.247  0.446
Tb  0.250  0.753  0.554
Tb  0.750  0.672  0.905
Tb  0.250  0.328  0.095
Pd  0.250  0.383  0.704
Pd  0.750  0.617  0.296
Bi  0.750  0.109  0.793
Bi  0.250  0.891  0.207

---

4.
Density functional theory data (PBE) for a geometry-optimized Cs3CaTl2Cl6 structure.

Properties
Fermi-level density of states = 0.173 states/eV/atom
size of the total moment = 0.8 Bohr magnetons per cell
total energy = -3.32 eV per atom
formation energy (no corrections) = -156.7 kJ per mole of atoms

a = 8.189 Å, b = 8.189 Å, c = 8.435 Å
α = 107.52°, β = 107.52°, γ = 105.58°
Site moments in Bohr magnetons follow the coordinates.
Element x y z (fractional)
Cl  0.660  0.971  0.763  0.00
Cl  0.029  0.340  0.237  0.00
Cl  0.971  0.660  0.763  0.00
Cl  0.183  0.183  0.837  0.01
Cl  0.340  0.029  0.237  0.00
Cl  0.817  0.817  0.163  0.01
Cs  0.821  0.179  0.500  0.00
Cs  0.179  0.821  0.500  0.00
Cs  0.500  0.500  0.500  0.02
Ca  0.000  0.000  0.000  0.00
Tl  0.636  0.364  0.000  0.07
Tl  0.364  0.636  0.000  0.07

---

5.
Density functional theory data (PBE) for a geometry-optimized BaY2Cl structure.

Properties
Fermi-level density of states = 1.615 states/eV/atom
size of the total moment = 1.3 Bohr magnetons per cell
relative energy among the computed polymorphs = 0.210 eV per atom
total energy = -4.56 eV per atom
formation energy (no corrections) = -37.4 kJ per mole of atoms

a = 9.220 Å, b = 9.220 Å, c = 7.266 Å
α = 50.62°, β = 50.62°, γ = 90.00°
Site moments in Bohr magnetons follow the coordinates.
Element x y z (fractional)
Y  0.375  0.477  0.750  0.12
Y  0.523  0.125  0.250  0.12
Y  0.875  0.773  0.750  0.12
Y  0.227  0.625  0.250  0.11
Ba  0.000  0.000  0.000  0.03
Ba  0.750  0.250  0.500  0.03
Cl  0.250  0.750  0.500  0.00
Cl  0.500  0.500  0.000  0.00

---

6.
Density functional theory data (PBE) for a geometry-optimized Nd3Er2ThAs6 structure.

Properties
Fermi-level density of states = 0.286 states/eV/atom
calculated formation energy = -1.506 eV per atom
size of the total moment = 0.0 Bohr magnetons per cell
total energy = -6.40 eV per atom

a = 7.282 Å, b = 7.282 Å, c = 7.306 Å
α = 99.58°, β = 99.58°, γ = 119.96°
Element x y z (fractional)
As  0.080  0.418  0.241
As  0.743  0.743  0.240
As  0.418  0.080  0.241
As  0.920  0.582  0.759
As  0.257  0.257  0.760
As  0.582  0.920  0.759
Er  0.333  0.667  0.000
Er  0.667  0.333  0.000
Nd  0.834  0.166  0.500
Nd  0.166  0.834  0.500
Nd  0.500  0.500  0.500
Th  0.000  0.000  0.000

---

7.
Density functional theory data (PBE) for a geometry-optimized CoIr2Pt structure.

Properties
Fermi-level density of states = 1.478 states/eV/atom
calculated formation energy = 0.091 eV per atom
size of the total moment = 2.4 Bohr magnetons per cell
relative energy among the computed polymorphs = 0.085 eV per atom
total energy = -7.63 eV per atom

a = 4.701 Å, b = 4.701 Å, c = 2.720 Å
α = 90.00°, β = 90.00°, γ = 109.96°
Site moments in Bohr magnetons follow the coordinates.
Element x y z (fractional)
Co  0.000  0.500  0.500  1.72
Ir  0.500  0.500  0.000  0.28
Ir  0.000  0.000  0.000  0.28
Pt  0.500  0.000  0.500  0.15

---

8.
Density functional theory data (PBE) for a geometry-optimized BaMgAl2Ag structure.

Properties
Fermi-level density of states = 0.598 states/eV/atom
calculated formation energy = -0.209 eV per atom
size of the total moment = 0.0 Bohr magnetons per cell
total energy = -2.98 eV per atom

a = 4.577 Å, b = 4.716 Å, c = 6.726 Å
α = 110.52°, β = 109.89°, γ = 90.00°
Element x y z (fractional)
Ba  0.445  0.445  0.891
Mg  0.192  0.692  0.383
Ag  0.826  0.826  0.651
Al  0.691  0.191  0.382
Al  0.059  0.059  0.117

---

9.
Density functional theory data (PBE) for a geometry-optimized NiGe structure.

Properties
Fermi-level density of states = 0.610 states/eV/atom
calculated formation energy = -0.060 eV per atom
size of the total moment = 0.0 Bohr magnetons per cell
total energy = -5.26 eV per atom

a = 8.048 Å, b = 8.048 Å, c = 4.015 Å
α = 90.00°, β = 90.00°, γ = 90.00°
Element x y z (fractional)
Ni  0.397  0.112  0.000
Ni  0.897  0.612  0.500
Ni  0.612  0.103  0.500
Ni  0.103  0.388  0.500
Ni  0.112  0.603  0.000
Ni  0.388  0.897  0.500
Ni  0.888  0.397  0.000
Ni  0.603  0.888  0.000
Ge  0.126  0.230  0.000
Ge  0.230  0.874  0.000
Ge  0.874  0.770  0.000
Ge  0.770  0.126  0.000
Ge  0.730  0.374  0.500
Ge  0.626  0.730  0.500
Ge  0.270  0.626  0.500
Ge  0.374  0.270  0.500

---

10.
Density functional theory data (PBE) for a geometry-optimized MgAlBr2 structure.

Properties
Fermi-level density of states = 0.603 states/eV/atom
size of the total moment = 0.0 Bohr magnetons per cell
relative energy among the computed polymorphs = 0.348 eV per atom
total energy = -2.46 eV per atom
formation energy (no corrections) = -28.0 kJ per mole of atoms

a = 3.696 Å, b = 6.459 Å, c = 4.412 Å
α = 90.00°, β = 90.00°, γ = 90.00°
Element x y z (fractional)
Br  0.500  0.500  0.000
Br  0.000  0.000  0.000
Mg  0.500  0.000  0.500
Al  0.000  0.500  0.500

---

Values for density, g/cm3, ordered as above
7.97; 7.70; 9.85; 3.73; 4.27; 7.60; 18.77; 4.24; 6.71; 3.33